# Cs2HoCdF6 | the Alexandria database | PBE | optimized geometry
# Raw total energy ... -4.835 eV/atom
# ΔE_f (raw) ... -2.992 eV/atom
data_Cs2HoCdF6
_chemical_formula_sum 'Cs4 Ho2 Cd2 F12'
_symmetry_space_group_name_H-M 'P m m n'
_symmetry_Int_Tables_number 59
_cell_length_a 6.741
_cell_length_b 9.533
_cell_length_c 6.743
_cell_angle_alpha 90.00
_cell_angle_beta 90.00
_cell_angle_gamma 90.00
loop_
_symmetry_equiv_pos_as_xyz
'x,y,z'
'-x,-y,-z'
'-x+1/2,-y+1/2,z'
'x+1/2,y+1/2,-z'
'x+1/2,-y,-z'
'-x+1/2,y,z'
'-x,y+1/2,-z'
'x,-y+1/2,z'
loop_
_atom_site_label
_atom_site_fract_x
_atom_site_fract_y
_atom_site_fract_z
Cs1 0.250 0.000 0.249
Ho1 0.250 0.250 0.747
Cd1 0.250 0.750 0.750
F1 0.021 0.250 0.519
F2 0.022 0.250 0.976
F3 0.250 0.022 0.746